The following is a PBE calculation of a relaxed structure of CaNdMg3, from Alexandria.

Calculated values
E = -45.30 eV for the cell shown
Calculated formation energy = 46 meV per atom
Crystal system = orthorhombic
Total magnetization = 0.0 Bohr magnetons per cell

Unit cell a=6.8539 b=15.7530 c=5.7758 alpha=90.00 beta=90.00 gamma=90.00
Space group Cmcm (No. 63)
Unique sites:
Ca 0.0000 0.1045 0.2500
Nd 0.0000 0.3018 0.7500
Mg 0.0000 0.5000 0.0000
Mg 0.2336 0.3636 0.2500